1.
DFT (PBE+U) results for a relaxed CoNiNF2 crystal.

Properties
E = -4.15 eV per atom
D(E_F) = 0.379 states/eV/atom

abc: 3.7695 3.7695 4.0916
angles: 90.00 90.00 90.00
Space group P4/mmm (No. 123)
One atom of each set of equivalent atoms:
Co: 0.0000 0.0000 0.0000
Ni: 0.5000 0.5000 0.5000
N: 0.5000 0.5000 0.0000
F: 0.0000 0.5000 0.5000

2.
DFT (PBE+U) results for a relaxed CoNO2F crystal.

Properties
E = -4.34 eV per atom
D(E_F) = 0.921 states/eV/atom

abc: 3.5874 3.5874 4.4001
angles: 90.00 90.00 90.00
Space group P4/mmm (No. 123)
One atom of each set of equivalent atoms:
Co: 0.0000 0.0000 0.0000
N: 0.5000 0.5000 0.5000
O: 0.0000 0.5000 0.0000
F: 0.0000 0.0000 0.5000

3.
DFT (PBE+U) results for a relaxed CoNO2F crystal.

Properties
E = -4.28 eV per atom
D(E_F) = 0.283 states/eV/atom

abc: 3.5529 3.5529 3.6577
angles: 90.00 90.00 90.00
Space group P4/mmm (No. 123)
One atom of each set of equivalent atoms:
Co: 0.0000 0.0000 0.0000
N: 0.5000 0.5000 0.5000
O: 0.0000 0.5000 0.5000
F: 0.5000 0.5000 0.0000

4.
DFT (PBE+U) results for a relaxed CoNO2F crystal.

Properties
E = -3.44 eV per atom
D(E_F) = 0.035 states/eV/atom

abc: 4.1942 4.1942 3.3239
angles: 90.00 90.00 90.00
Space group P4/mmm (No. 123)
One atom of each set of equivalent atoms:
Co: 0.0000 0.0000 0.0000
N: 0.5000 0.5000 0.0000
O: 0.0000 0.5000 0.5000
F: 0.5000 0.5000 0.5000

5.
DFT (PBE+U) results for a relaxed CoOsN2F crystal.

Properties
E = -6.40 eV per atom
D(E_F) = 0.960 states/eV/atom

abc: 3.8218 3.8218 4.2775
angles: 90.00 90.00 90.00
Space group P4/mmm (No. 123)
One atom of each set of equivalent atoms:
Co: 0.0000 0.0000 0.0000
Os: 0.5000 0.5000 0.5000
N: 0.0000 0.5000 0.5000
F: 0.5000 0.5000 0.0000

6.
DFT (PBE+U) results for a relaxed CoOsN2F crystal.

Properties
E = -5.64 eV per atom
D(E_F) = 0.651 states/eV/atom

abc: 3.7820 3.7820 3.5467
angles: 90.00 90.00 90.00
Space group P4/mmm (No. 123)
One atom of each set of equivalent atoms:
Co: 0.0000 0.0000 0.0000
Os: 0.5000 0.5000 0.5000
N: 0.0000 0.5000 0.0000
F: 0.0000 0.0000 0.5000

7.
DFT (PBE+U) results for a relaxed CoOsNF2 crystal.

Properties
E = -5.06 eV per atom
D(E_F) = 0.495 states/eV/atom

abc: 3.7270 3.7270 4.1166
angles: 90.00 90.00 90.00
Space group P4/mmm (No. 123)
One atom of each set of equivalent atoms:
Co: 0.0000 0.0000 0.0000
Os: 0.5000 0.5000 0.5000
N: 0.0000 0.0000 0.5000
F: 0.0000 0.5000 0.0000

8.
DFT (PBE+U) results for a relaxed CoOsNF2 crystal.

Properties
E = -5.58 eV per atom
D(E_F) = 0.859 states/eV/atom

abc: 4.2643 4.2643 3.7588
angles: 90.00 90.00 90.00
Space group P4/mmm (No. 123)
One atom of each set of equivalent atoms:
Co: 0.0000 0.0000 0.0000
Os: 0.5000 0.5000 0.5000
N: 0.5000 0.5000 0.0000
F: 0.0000 0.5000 0.5000

9.
DFT (PBE+U) results for a relaxed CoPN2F crystal.

Properties
E = -4.81 eV per atom
D(E_F) = 0.583 states/eV/atom

abc: 3.7536 3.7536 3.6311
angles: 90.00 90.00 90.00
Space group P4/mmm (No. 123)
One atom of each set of equivalent atoms:
Co: 0.0000 0.0000 0.0000
P: 0.5000 0.5000 0.5000
N: 0.0000 0.5000 0.0000
F: 0.0000 0.0000 0.5000

10.
DFT (PBE+U) results for a relaxed CoPNF2 crystal.

Properties
E = -4.61 eV per atom
D(E_F) = 0.918 states/eV/atom

abc: 4.3903 4.3903 3.2938
angles: 90.00 90.00 90.00
Space group P4/mmm (No. 123)
One atom of each set of equivalent atoms:
Co: 0.0000 0.0000 0.0000
P: 0.5000 0.5000 0.5000
N: 0.5000 0.5000 0.0000
F: 0.0000 0.5000 0.5000

11.
DFT (PBE+U) results for a relaxed CoPN2F crystal.

Properties
E = -5.43 eV per atom
D(E_F) = 0.158 states/eV/atom

abc: 3.5324 3.5324 3.7218
angles: 90.00 90.00 90.00
Space group P4/mmm (No. 123)
One atom of each set of equivalent atoms:
Co: 0.0000 0.0000 0.0000
P: 0.5000 0.5000 0.5000
N: 0.0000 0.5000 0.5000
F: 0.5000 0.5000 0.0000

12.
DFT (PBE+U) results for a relaxed CoPNF2 crystal.

Properties
E = -4.36 eV per atom
D(E_F) = 0.568 states/eV/atom

abc: 3.7124 3.7124 4.0469
angles: 90.00 90.00 90.00
Space group P4/mmm (No. 123)
One atom of each set of equivalent atoms:
Co: 0.0000 0.0000 0.0000
P: 0.5000 0.5000 0.5000
N: 0.0000 0.0000 0.5000
F: 0.0000 0.5000 0.0000

Repeat the eighth record exactly.
DFT (PBE+U) results for a relaxed CoOsNF2 crystal.

Properties
E = -5.58 eV per atom
D(E_F) = 0.859 states/eV/atom

abc: 4.2643 4.2643 3.7588
angles: 90.00 90.00 90.00
Space group P4/mmm (No. 123)
One atom of each set of equivalent atoms:
Co: 0.0000 0.0000 0.0000
Os: 0.5000 0.5000 0.5000
N: 0.5000 0.5000 0.0000
F: 0.0000 0.5000 0.5000

Which of these has the highest E?
number 4